This record from Alexandria via LeMat-Bulk describes a relaxed DySc2Hg8 crystal. The functional is PBE.

Values from the calculation:
final energy: -2.020 eV per atom
space-group type: Immm
V: 23.44 Å³ per atom
crystal system: orthorhombic

Cell: 4.8601 7.4957 8.3692 Å, 116.60 106.88 90.00°
Fractional coordinates of all 11 atoms:
Dy1 0.5000 0.0000 0.0000
Sc1 0.1905 0.6905 0.3811
Sc2 0.8095 0.3095 0.6189
Hg1 0.6519 0.8662 0.3039
Hg2 0.3481 0.5624 0.6961
Hg3 0.1581 0.1581 0.3162
Hg4 0.0000 0.2992 0.0000
Hg5 0.8419 0.8419 0.6838
Hg6 0.6519 0.4376 0.3039
Hg7 0.3481 0.1338 0.6961
Hg8 0.0000 0.7008 0.0000